A geometry-optimized Ho2AlCd structure, computed with PBE.

Values from the calculation:
formation energy: 0.23 eV per formula unit
energy: -3.395 eV/atom
M_tot: 0.000 μB/cell
symmetry: No. 166

a b c (Å): 3.4467 3.4467 11.0570
angles (deg): 81.03 81.03 60.00
Last column: nearest neighbours and their distance in Å.
Atoms (fractional coordinates):
Cd 0.0000 0.0000 0.0000  2 Ho 3.19, 6 Cd 3.45
Al 0.5000 0.5000 0.5000  6 Ho 3.00
Ho 0.9022 0.9022 0.2935  3 Al 3.00, 1 Cd 3.19
Ho 0.0978 0.0978 0.7065  3 Al 3.00, 1 Cd 3.19